Version one
The following is a GGA-PBE calculation of crystalline Nb3CrHg at its relaxed geometry, from Alexandria.

The structure in CIF format:
```
data_Nb3CrHg
_chemical_formula_sum 'Nb3 Cr1 Hg1'
_symmetry_space_group_name_H-M 'P m -3 m'
_symmetry_Int_Tables_number 221
_symmetry_space_group_name_Hall '-P 4 2 3'
_cell_length_a 4.6331
_cell_length_b 4.6331
_cell_length_c 4.6331
_cell_angle_alpha 90.00
_cell_angle_beta 90.00
_cell_angle_gamma 90.00
loop_
_atom_site_label
_atom_site_fract_x
_atom_site_fract_y
_atom_site_fract_z
Nb1 0.0000 0.0000 0.5000
Cr1 0.0000 0.0000 0.0000
Hg1 0.5000 0.5000 0.5000
```

Version two
The following is a GGA-PBE calculation of crystalline Nb3CrHg at its relaxed geometry, from Alexandria.

The structure in CIF format:
```
data_Nb3CrHg
_chemical_formula_sum 'Nb3 Cr1 Hg1'
_symmetry_space_group_name_H-M 'P m -3 m'
_symmetry_Int_Tables_number 221
_symmetry_space_group_name_Hall '-P 4 2 3'
_cell_length_a 5.0046
_cell_length_b 5.0046
_cell_length_c 5.0046
_cell_angle_alpha 90.00
_cell_angle_beta 90.00
_cell_angle_gamma 90.00
loop_
_atom_site_label
_atom_site_fract_x
_atom_site_fract_y
_atom_site_fract_z
Nb1 0.0000 0.0000 0.5000
Cr1 0.5000 0.5000 0.5000
Hg1 0.0000 0.0000 0.0000
```

Which of them is the most stable, and which is the least stable? version one and version two, in that order.

Version one
The following is a GGA-PBE calculation of crystalline CrNiHg at its relaxed geometry, from Alexandria.

The structure in CIF format:
```
data_CrNiHg
_chemical_formula_sum 'Cr1 Ni1 Hg1'
_symmetry_space_group_name_H-M 'P 3 m 1'
_symmetry_Int_Tables_number 156
_symmetry_space_group_name_Hall 'P 3 -2"'
_cell_length_a 4.3104
_cell_length_b 4.3104
_cell_length_c 2.9369
_cell_angle_alpha 90.00
_cell_angle_beta 90.00
_cell_angle_gamma 120.00
loop_
_atom_site_label
_atom_site_fract_x
_atom_site_fract_y
_atom_site_fract_z
Cr1 0.0000 0.0000 0.0000
Ni1 0.3333 0.6667 0.9976
Hg1 0.6667 0.3333 0.4993
```

Version two
The following is a GGA-PBE calculation of crystalline CrNiHg at its relaxed geometry, from Alexandria.

The structure in CIF format:
```
data_CrNiHg
_chemical_formula_sum 'Cr2 Ni2 Hg2'
_symmetry_space_group_name_H-M 'I 4 m m'
_symmetry_Int_Tables_number 107
_symmetry_space_group_name_Hall 'I 4 -2'
_cell_length_a 3.1440
_cell_length_b 3.1440
_cell_length_c 9.2860
_cell_angle_alpha 90.00
_cell_angle_beta 90.00
_cell_angle_gamma 90.00
loop_
_atom_site_label
_atom_site_fract_x
_atom_site_fract_y
_atom_site_fract_z
Cr1 0.0000 0.0000 0.0000
Ni1 0.0000 0.0000 0.6204
Hg1 0.0000 0.0000 0.3056
```

Which of them is the most stable, and which is the least stable? version two and version one, in that order.

Version one
The following is a GGA-PBE calculation of crystalline CrNiHg at its relaxed geometry, from Alexandria.

The structure in CIF format:
```
data_CrNiHg
_chemical_formula_sum 'Cr1 Ni1 Hg1'
_symmetry_space_group_name_H-M 'P 3 m 1'
_symmetry_Int_Tables_number 156
_symmetry_space_group_name_Hall 'P 3 -2"'
_cell_length_a 2.9381
_cell_length_b 2.9381
_cell_length_c 6.3447
_cell_angle_alpha 90.00
_cell_angle_beta 90.00
_cell_angle_gamma 120.00
loop_
_atom_site_label
_atom_site_fract_x
_atom_site_fract_y
_atom_site_fract_z
Cr1 0.0000 0.0000 0.0000
Ni1 0.3333 0.6667 0.7265
Hg1 0.6667 0.3333 0.3728
```

Version two
The following is a GGA-PBE calculation of crystalline CrNiHg at its relaxed geometry, from Alexandria.

The structure in CIF format:
```
data_CrNiHg
_chemical_formula_sum 'Cr4 Ni4 Hg4'
_symmetry_space_group_name_H-M 'F -4 3 m'
_symmetry_Int_Tables_number 216
_symmetry_space_group_name_Hall 'F -4 2 3'
_cell_length_a 5.7974
_cell_length_b 5.7974
_cell_length_c 5.7974
_cell_angle_alpha 90.00
_cell_angle_beta 90.00
_cell_angle_gamma 90.00
loop_
_atom_site_label
_atom_site_fract_x
_atom_site_fract_y
_atom_site_fract_z
Cr1 0.0000 0.0000 0.0000
Ni1 0.2500 0.2500 0.7500
Hg1 0.0000 0.0000 0.5000
```

Which of them is the most stable, and which is the least stable? version one and version two, in that order.

Version one
The following is a GGA-PBE calculation of crystalline CrNiHg2 at its relaxed geometry, from Alexandria.

The structure in CIF format:
```
data_CrNiHg2
_chemical_formula_sum 'Cr3 Ni3 Hg6'
_symmetry_space_group_name_H-M 'R -3 m'
_symmetry_Int_Tables_number 166
_symmetry_space_group_name_Hall '-R 3 2"'
_cell_length_a 3.1561
_cell_length_b 3.1561
_cell_length_c 25.4564
_cell_angle_alpha 90.00
_cell_angle_beta 90.00
_cell_angle_gamma 120.00
loop_
_atom_site_label
_atom_site_fract_x
_atom_site_fract_y
_atom_site_fract_z
Cr1 0.0000 0.0000 0.0000
Ni1 0.0000 0.0000 0.5000
Hg1 0.0000 0.0000 0.2453
```

Version two
The following is a GGA-PBE calculation of crystalline CrNiHg2 at its relaxed geometry, from Alexandria.

The structure in CIF format:
```
data_CrNiHg2
_chemical_formula_sum 'Cr2 Ni2 Hg4'
_symmetry_space_group_name_H-M 'I m m 2'
_symmetry_Int_Tables_number 44
_symmetry_space_group_name_Hall 'I 2 -2'
_cell_length_a 3.1997
_cell_length_b 4.6040
_cell_length_c 9.4615
_cell_angle_alpha 90.00
_cell_angle_beta 90.00
_cell_angle_gamma 90.00
loop_
_atom_site_label
_atom_site_fract_x
_atom_site_fract_y
_atom_site_fract_z
Cr1 0.0000 0.0000 0.0000
Ni1 0.0000 0.5000 0.2883
Hg1 0.0000 0.0000 0.5502
Hg2 0.0000 0.5000 0.7731
```

Which of them is the most stable, and which is the least stable? version two and version one, in that order.